Here is an optimized crystal structure of Tb2Pm6Nd3Y from the Alexandria database. Energies are from PBE.

```
12
Lattice="3.1542 -5.4634 0.0000 3.1542 5.4634 0.0000 -2.1047 0.0000 11.8648" Properties=species:S:1:pos:R:3 pbc="T T T"
Tb 3.1542 3.6429 0.0000
Tb 3.1542 -3.6429 0.0000
Pm -0.0064 1.8245 8.9392
Pm 1.0501 0.0000 2.9279
Pm -0.0064 -1.8245 8.9392
Pm 4.2102 1.8245 2.9257
Pm 3.1537 0.0000 8.9369
Pm 4.2102 -1.8245 2.9257
Nd -1.0523 0.0000 5.9324
Nd 2.1019 1.8217 5.9324
Nd 2.1019 -1.8217 5.9324
Y 3.1542 0.0000 0.0000
```

Properties
- Electronic total energy: -4.864 eV per atom
- DFT formation energy: 0.01 eV/atom
- Space-group type: C2/m, No. 12
- Mass density: 6.942 Mg/m³
- Total moment: 0.0 μB/cell
- N(E_F): 16.91 states/eV per cell